{
  "formula": "LaAuOF2",
  "functional": "GGA-PBE",
  "state": "optimized geometry",
  "lattice_angstrom": [[4.6541, 0.0000, 0.0000], [0.0000, 4.6541, 0.0000], [0.0000, 0.0000, 4.6713]],
  "species": ["La", "Au", "O", "F", "F"],
  "frac_coords": [[0.0000, 0.0000, 0.0000], [0.5000, 0.5000, 0.5000], [0.0000, 0.0000, 0.5000], [0.0000, 0.5000, 0.0000], [0.5000, 0.0000, 0.0000]],
  "total_energy_ev_per_cell": -27.68,
  "e_form_raw_ev_per_atom": -2.156,
  "e_above_lowest_polymorph_mev_per_atom": 0,
  "volume_a3_per_atom": 20.24
}